# ZnCd2Ag | Alexandria via LeMat-Bulk | PBE | optimized geometry
data_ZnCd2Ag
_space_group_name_H-M_alt 'P -1'
_space_group_IT_number 2
_space_group_name_Hall '-P 1'
_cell_length_a 4.844
_cell_length_b 5.402
_cell_length_c 7.177
_cell_angle_alpha 81.56
_cell_angle_beta 71.41
_cell_angle_gamma 63.88
loop_
_atom_site_label
_atom_site_type_symbol
_atom_site_fract_x
_atom_site_fract_y
_atom_site_fract_z
_atom_site_occupancy
Zn1 Zn 0.000 0.000 0.000 1
Zn2 Zn 0.000 0.500 0.000 1
Cd1 Cd 0.347 0.185 0.657 1
Cd2 Cd 0.379 0.489 0.235 1
Ag1 Ag 0.025 0.807 0.653 1
# * total magnetization: 0.00 μB/f.u.
# * DFT total energy: -1.471 eV/atom
# * formation enthalpy at 0 K: 18 meV/atom
# * DOS(E_F): 2.66 states/eV per cell

---

# In2RhCl | Alexandria via LeMat-Bulk | PBE | optimized geometry
data_In2RhCl
_space_group_name_H-M_alt 'R -3 m'
_space_group_IT_number 166
_space_group_name_Hall '-R 3 2"'
_cell_length_a 3.4981
_cell_length_b 3.4981
_cell_length_c 24.2980
_cell_angle_alpha 90.00
_cell_angle_beta 90.00
_cell_angle_gamma 120.00
loop_
_atom_site_label
_atom_site_type_symbol
_atom_site_fract_x
_atom_site_fract_y
_atom_site_fract_z
_atom_site_occupancy
In1 In 0.0000 0.0000 0.2404 1
Rh1 Rh 0.0000 0.0000 0.5000 1
Cl1 Cl 0.0000 0.0000 0.0000 1
# * offset from the most stable computed form: 70.3 meV/atom
# * total magnetization: 0.00 μB/f.u.
# * DFT total energy: -4.067 eV/atom
# * ΔE_f (raw): -0.3985 eV per atom
# * DOS(E_F): 2.25 states/eV per cell

---

# TbTh2Cu6 | Alexandria via LeMat-Bulk | PBE | optimized geometry
data_TbTh2Cu6
_space_group_name_H-M_alt 'P 6/m m m'
_space_group_IT_number 191
_space_group_name_Hall '-P 6 2'
_cell_length_a 7.4846
_cell_length_b 7.4846
_cell_length_c 3.5741
_cell_angle_alpha 90.00
_cell_angle_beta 90.00
_cell_angle_gamma 120.00
loop_
_atom_site_label
_atom_site_type_symbol
_atom_site_fract_x
_atom_site_fract_y
_atom_site_fract_z
_atom_site_occupancy
Tb1 Tb 0.0000 0.0000 0.0000 1
Th1 Th 0.3333 0.6667 0.0000 1
Cu1 Cu 0.0000 0.3317 0.5000 1
# * total magnetization: 0.00 μB/f.u.
# * DFT total energy: -5.106 eV/atom
# * formation enthalpy at 0 K: -212 meV/atom
# * DOS(E_F): 8.00 states/eV per cell

---

# NaNdSm2 | Alexandria via LeMat-Bulk | PBE | optimized geometry
data_NaNdSm2
_space_group_name_H-M_alt 'R 3 m'
_space_group_IT_number 160
_space_group_name_Hall 'R 3 -2"'
_cell_length_a 3.6330
_cell_length_b 3.6330
_cell_length_c 36.7735
_cell_angle_alpha 90.00
_cell_angle_beta 90.00
_cell_angle_gamma 120.00
loop_
_atom_site_label
_atom_site_type_symbol
_atom_site_fract_x
_atom_site_fract_y
_atom_site_fract_z
_atom_site_occupancy
Na1 Na 0.0000 0.0000 0.0000 1
Nd1 Nd 0.0000 0.0000 0.1667 1
Sm1 Sm 0.0000 0.0000 0.4198 1
Sm2 Sm 0.0000 0.0000 0.5803 1
# * offset from the most stable computed form: 0.2 meV/atom
# * total magnetization: 0.00 μB/f.u.
# * DFT total energy: -3.764 eV/atom
# * formation enthalpy at 0 K: 117 meV/atom
# * DOS(E_F): 14.84 states/eV per cell

---

# RbBSe2O8 | Alexandria via LeMat-Bulk | PBE | optimized geometry
data_RbBSe2O8
_space_group_name_H-M_alt 'C 1 2/m 1'
_space_group_IT_number 12
_space_group_name_Hall '-C 2y'
_cell_length_a 8.011
_cell_length_b 6.882
_cell_length_c 8.941
_cell_angle_alpha 90.00
_cell_angle_beta 112.89
_cell_angle_gamma 90.00
loop_
_atom_site_label
_atom_site_type_symbol
_atom_site_fract_x
_atom_site_fract_y
_atom_site_fract_z
_atom_site_occupancy
Rb1 Rb 0.000 0.000 0.000 1
B1 B 0.000 0.000 0.500 1
Se1 Se 0.114 0.500 0.242 1
O1 O 0.019 0.297 0.262 1
O2 O 0.171 0.000 0.546 1
O3 O 0.207 0.500 0.109 1
# * total magnetization: 0.05 μB/f.u.
# * DFT total energy: -5.499 eV/atom
# * ΔE_f (raw): -0.9755 eV per atom
# * DOS(E_F): 0.00 states/eV per cell

---

# NbFeSi | Alexandria via LeMat-Bulk | PBE | optimized geometry
data_NbFeSi
_space_group_name_H-M_alt 'P 1 21/m 1'
_space_group_IT_number 11
_space_group_name_Hall '-P 2yb'
_cell_length_a 6.307
_cell_length_b 3.660
_cell_length_c 10.697
_cell_angle_alpha 90.00
_cell_angle_beta 90.38
_cell_angle_gamma 90.00
loop_
_atom_site_label
_atom_site_type_symbol
_atom_site_fract_x
_atom_site_fract_y
_atom_site_fract_z
_atom_site_occupancy
Nb1 Nb 0.015 0.250 0.203 1
Nb2 Nb 0.346 0.750 0.578 1
Nb3 Nb 0.481 0.750 0.880 1
Fe1 Fe 0.003 0.250 0.587 1
Fe2 Fe 0.143 0.250 0.958 1
Fe3 Fe 0.353 0.750 0.295 1
Si1 Si 0.225 0.750 0.076 1
Si2 Si 0.234 0.250 0.412 1
Si3 Si 0.274 0.250 0.750 1
# * total magnetization: 0.77 μB/f.u.
# * DFT total energy: -8.592 eV/atom
# * ΔE_f (raw): -0.6068 eV per atom
# * DOS(E_F): 14.51 states/eV per cell

---

# TbNd2Ho4 | Alexandria via LeMat-Bulk | PBE | optimized geometry
data_TbNd2Ho4
_space_group_name_H-M_alt 'P 1 21/m 1'
_space_group_IT_number 11
_space_group_name_Hall '-P 2yb'
_cell_length_a 6.114
_cell_length_b 6.601
_cell_length_c 11.660
_cell_angle_alpha 90.00
_cell_angle_beta 105.04
_cell_angle_gamma 90.00
loop_
_atom_site_label
_atom_site_type_symbol
_atom_site_fract_x
_atom_site_fract_y
_atom_site_fract_z
_atom_site_occupancy
Tb1 Tb 0.026 0.250 0.359 1
Nd1 Nd 0.153 0.250 0.948 1
Nd2 Nd 0.398 0.750 0.509 1
Ho1 Ho 0.147 0.250 0.664 1
Ho2 Ho 0.286 0.750 0.925 1
Ho3 Ho 0.345 0.505 0.212 1
# * offset from the most stable computed form: 46.8 meV/atom
# * total magnetization: 0.00 μB/f.u.
# * DFT total energy: -4.507 eV/atom
# * formation enthalpy at 0 K: 133 meV/atom
# * DOS(E_F): 22.87 states/eV per cell

---

# Gd2CuO4 | Alexandria via LeMat-Bulk | PBE | optimized geometry
data_Gd2CuO4
_space_group_name_H-M_alt 'I 4/m m m'
_space_group_IT_number 139
_space_group_name_Hall '-I 4 2'
_cell_length_a 3.911
_cell_length_b 3.911
_cell_length_c 11.969
_cell_angle_alpha 90.00
_cell_angle_beta 90.00
_cell_angle_gamma 90.00
loop_
_atom_site_label
_atom_site_type_symbol
_atom_site_fract_x
_atom_site_fract_y
_atom_site_fract_z
_atom_site_occupancy
Gd1 Gd 0.000 0.000 0.151 1
Cu1 Cu 0.000 0.000 0.500 1
O1 O 0.000 0.500 0.000 1
O2 O 0.000 0.500 0.250 1
# * offset from the most stable computed form: 9.4 meV/atom
# * total magnetization: 14.10 μB/f.u.
# * DFT total energy: -10.063 eV/atom
# * ΔE_f (raw): -2.6219 eV per atom
# * DOS(E_F): 2.81 states/eV per cell

---

# Ta2Cd | Alexandria via LeMat-Bulk | PBE | optimized geometry
data_Ta2Cd
_space_group_name_H-M_alt 'C m c m'
_space_group_IT_number 63
_space_group_name_Hall '-C 2c 2'
_cell_length_a 4.504
_cell_length_b 12.232
_cell_length_c 4.114
_cell_angle_alpha 90.00
_cell_angle_beta 90.00
_cell_angle_gamma 90.00
loop_
_atom_site_label
_atom_site_type_symbol
_atom_site_fract_x
_atom_site_fract_y
_atom_site_fract_z
_atom_site_occupancy
Ta1 Ta 0.000 0.086 0.250 1
Ta2 Ta 0.000 0.245 0.750 1
Cd1 Cd 0.000 0.418 0.250 1
# * total magnetization: 0.00 μB/f.u.
# * DFT total energy: -7.913 eV/atom
# * formation enthalpy at 0 K: 294 meV/atom
# * DOS(E_F): 8.25 states/eV per cell

---

# CaTl2Cl4 | Alexandria via LeMat-Bulk | PBE | optimized geometry
data_CaTl2Cl4
_space_group_name_H-M_alt 'C 1 2/m 1'
_space_group_IT_number 12
_space_group_name_Hall '-C 2y'
_cell_length_a 13.856
_cell_length_b 4.129
_cell_length_c 8.776
_cell_angle_alpha 90.00
_cell_angle_beta 117.65
_cell_angle_gamma 90.00
loop_
_atom_site_label
_atom_site_type_symbol
_atom_site_fract_x
_atom_site_fract_y
_atom_site_fract_z
_atom_site_occupancy
Ca1 Ca 0.000 0.000 0.000 1
Tl1 Tl 0.142 0.500 0.687 1
Cl1 Cl 0.038 0.000 0.333 1
Cl2 Cl 0.149 0.500 0.064 1
# * offset from the most stable computed form: 9.4 meV/atom
# * total magnetization: 0.00 μB/f.u.
# * DFT total energy: -3.621 eV/atom
# * ΔE_f (raw): -1.6041 eV per atom
# * DOS(E_F): 0.00 states/eV per cell

---

# Zn2CrMo | Alexandria via LeMat-Bulk | PBE | optimized geometry
data_Zn2CrMo
_space_group_name_H-M_alt 'I -4 m 2'
_space_group_IT_number 119
_space_group_name_Hall 'I -4 -2'
_cell_length_a 3.853
_cell_length_b 3.853
_cell_length_c 7.611
_cell_angle_alpha 90.00
_cell_angle_beta 90.00
_cell_angle_gamma 90.00
loop_
_atom_site_label
_atom_site_type_symbol
_atom_site_fract_x
_atom_site_fract_y
_atom_site_fract_z
_atom_site_occupancy
Zn1 Zn 0.000 0.000 0.000 1
Zn2 Zn 0.000 0.500 0.250 1
Cr1 Cr 0.000 0.500 0.750 1
Mo1 Mo 0.000 0.000 0.500 1
# * offset from the most stable computed form: 91.9 meV/atom
# * total magnetization: 1.40 μB/f.u.
# * DFT total energy: -5.525 eV/atom
# * formation enthalpy at 0 K: 226 meV/atom
# * DOS(E_F): 6.28 states/eV per cell